## Ba2YCr3O7 (GGA+U)

Data for crystalline Ba2YCr3O7 at its relaxed geometry.

Cell lengths 3.9314, 4.0358, 11.7449 Å; angles 90.00, 90.00, 90.00 degrees
Element x y z (fractional)
Ba 0.0000 0.0000 0.1810
Ba 0.0000 0.0000 0.8190
Y 0.0000 0.0000 0.5000
Cr 0.5000 0.5000 0.0000
Cr 0.5000 0.5000 0.3509
Cr 0.5000 0.5000 0.6491
O 0.0000 0.5000 0.3805
O 0.0000 0.5000 0.6195
O 0.5000 0.0000 0.0000
O 0.5000 0.0000 0.3789
O 0.5000 0.0000 0.6211
O 0.5000 0.5000 0.1762
O 0.5000 0.5000 0.8238

Results
The total moment comes out at 11.0 μB per cell. As for the total energy: -7.53 eV per atom. The space group is No. 47.